Entry 1:
# LaTcHg

A relaxed LaTcHg crystal (GGA-PBEsol, the Alexandria database).

a b c (Å): 4.7928 4.7928 4.7928
angles (deg): 60.00 60.00 60.00
Closest atoms and distances in Å follow each position.
Element x y z (fractional)
Tc 0.5000 0.5000 0.5000  4 Hg 2.93
La 0.0000 0.0000 0.0000  4 Hg 2.93
Hg 0.2500 0.2500 0.2500  4 Tc 2.93, 4 La 2.93

Output
Its density of states at the Fermi level is 1.3795 states/eV/atom. As for the uncorrected energy: -15.017 eV/cell. Its formation energy is 0.7209 eV/atom.



Entry 2:
# K2CdPt2

A relaxed K2CdPt2 crystal (GGA-PBEsol, the Alexandria database).

a b c (Å): 5.2183 6.8335 6.8335
angles (deg): 90.00 90.00 90.00
Closest atoms and distances in Å follow each position.
Element x y z (fractional)
Pt 0.0000 0.1311 0.3689  1 Pt 2.53, 2 Cd 2.68
Pt 0.0000 0.6311 0.1311  1 Pt 2.53, 2 Cd 2.68
Pt 0.0000 0.8689 0.6311  1 Pt 2.53, 2 Cd 2.68
Pt 0.0000 0.3689 0.8689  1 Pt 2.53, 2 Cd 2.68
K 0.5000 0.1721 0.6721  6 Pt 3.23-3.34, 5 K 3.33-3.58
K 0.5000 0.8279 0.3279  6 Pt 3.23-3.34, 5 K 3.33-3.58
K 0.5000 0.3279 0.1721  6 Pt 3.23-3.34, 5 K 3.33-3.58
K 0.5000 0.6721 0.8279  6 Pt 3.23-3.34, 5 K 3.33-3.58
Cd 0.0000 0.5000 0.5000  4 Pt 2.68
Cd 0.0000 0.0000 0.0000  4 Pt 2.68

Output
Its density of states at the Fermi level is 0.2515 states/eV/atom. As for the uncorrected energy: -34.812 eV/cell. Its formation energy is -0.0031 eV/atom.



Entry 3:
# ReRu3

A relaxed ReRu3 crystal (GGA-PBEsol, the Alexandria database).

a b c (Å): 3.1973 3.1973 5.4726
angles (deg): 90.00 90.00 90.00
Closest atoms and distances in Å follow each position.
Element x y z (fractional)
Re 0.0000 0.0000 0.0000  10 Ru 2.66-2.74
Ru 0.5000 0.5000 0.7433  6 Ru 2.62-2.81, 4 Re 2.66
Ru 0.5000 0.5000 0.2567  6 Ru 2.62-2.81, 4 Re 2.66
Ru 0.0000 0.0000 0.5000  8 Ru 2.62, 2 Re 2.74

Output
Its density of states at the Fermi level is 1.2453 states/eV/atom. Its energy relative to the lowest polymorph listed for this composition is 554 meV per atom. As for the uncorrected energy: -41.893 eV/cell. Its formation energy is 0.4892 eV/atom.